(1)
Computed, not measured: an optimized crystal structure of TcTeP2Cl at the GGA-PBE level of DFT.

Lattice parameters (Å, degrees): 5.090 5.090 5.090 90.00 90.00 90.00
Space group P4/mmm (No. 123)
One atom of each set of equivalent atoms:
Tc 0.000 0.000 0.000 (multiplicity 1)
Te 0.500 0.500 0.500 (multiplicity 1)
P 0.000 0.500 0.500 (multiplicity 2)
Cl 0.500 0.500 0.000 (multiplicity 1)

Properties
* uncorrected formation energy: 1.482 eV/atom
* relative energy among the computed polymorphs: 1128 meV per atom
* E_tot: -3.75 eV per atom
* Fermi-level density of states: 3.73 states/eV per cell

---

(2)
Computed, not measured: an optimized crystal structure of TiTcPCl2 at the GGA-PBE level of DFT.

Lattice parameters (Å, degrees): 4.820 4.820 4.596 90.00 90.00 90.00
Space group P4/mmm (No. 123)
One atom of each set of equivalent atoms:
Ti 0.000 0.000 0.000 (multiplicity 1)
Tc 0.500 0.500 0.500 (multiplicity 1)
P 0.500 0.500 0.000 (multiplicity 1)
Cl 0.000 0.500 0.500 (multiplicity 2)

Properties
* uncorrected formation energy: 0.472 eV/atom
* relative energy among the computed polymorphs: 261 meV per atom
* E_tot: -5.00 eV per atom
* Fermi-level density of states: 8.81 states/eV per cell

---

(3)
Computed, not measured: an optimized crystal structure of TiTcPCl2 at the GGA-PBE level of DFT.

Lattice parameters (Å, degrees): 4.599 4.599 5.132 90.00 90.00 90.00
Space group P4/mmm (No. 123)
One atom of each set of equivalent atoms:
Ti 0.000 0.000 0.000 (multiplicity 1)
Tc 0.500 0.500 0.500 (multiplicity 1)
P 0.000 0.000 0.500 (multiplicity 1)
Cl 0.000 0.500 0.000 (multiplicity 2)

Properties
* uncorrected formation energy: 0.211 eV/atom
* relative energy among the computed polymorphs: 0 meV per atom
* E_tot: -5.26 eV per atom
* Fermi-level density of states: 2.98 states/eV per cell

---

(4)
Computed, not measured: an optimized crystal structure of TlTcP2Cl at the GGA-PBE level of DFT.

Lattice parameters (Å, degrees): 4.577 4.577 5.474 90.00 90.00 90.00
Space group P4/mmm (No. 123)
One atom of each set of equivalent atoms:
Tl 0.000 0.000 0.000 (multiplicity 1)
Tc 0.500 0.500 0.500 (multiplicity 1)
P 0.000 0.500 0.500 (multiplicity 2)
Cl 0.500 0.500 0.000 (multiplicity 1)

Properties
* uncorrected formation energy: 0.039 eV/atom
* relative energy among the computed polymorphs: 0 meV per atom
* E_tot: -5.04 eV per atom
* Fermi-level density of states: 1.98 states/eV per cell